Record 1
The following is a DFT calculation (PBE) of an optimized crystal structure of MgScAg2.

It has space group C2/m (No. 12), with a = 9.353 Å, b = 3.016 Å, c = 5.720 Å, α = 90.00°, β = 98.27° and γ = 90.00°. Symmetry generates all atoms from Mg at (0.000, 0.000, 0.000), Sc at (0.000, 0.500, 0.500) and Ag at (0.248, 0.500, 0.244).

For the total energy, the calculation gives -27.88 eV for the cell shown. For the density, the calculation gives 5.9 Mg/m³. As for the crystal system: monoclinic. The value obtained for the formation enthalpy at 0 K is -0.31 eV per formula unit. Its density of states at the Fermi level is 2.65 states/eV/f.u.


Record 2
The following is a DFT calculation (PBE) of an optimized crystal structure of Mg3ScAg3.

It has space group Cmmm (No. 65), with a = 9.383 Å, b = 9.693 Å, c = 6.372 Å, α = 90.00°, β = 90.00° and γ = 90.00°. Symmetry generates all atoms from Mg at (0.000, 0.229, 0.000), Mg at (0.000, 0.261, 0.500), Mg at (0.246, 0.000, 0.000), Sc at (0.222, 0.000, 0.500), Ag at (0.000, 0.500, 0.249) and Ag at (0.250, 0.250, 0.245).

For the total energy, the calculation gives -82.32 eV for the cell shown. For the density, the calculation gives 5.1 Mg/m³. As for the crystal system: orthorhombic. The value obtained for the formation enthalpy at 0 K is -0.91 eV per formula unit. Its density of states at the Fermi level is 4.58 states/eV/f.u.


Record 3
The following is a DFT calculation (PBE) of an optimized crystal structure of Mg3Sc2Ag4.

It has space group C2/m (No. 12), with a = 8.287 Å, b = 4.780 Å, c = 8.958 Å, α = 90.00°, β = 90.03° and γ = 90.00°. Symmetry generates all atoms from Mg at (0.000, 0.000, 0.000), Mg at (0.166, 0.500, 0.576), Sc at (0.167, 0.500, 0.214), Ag at (0.001, 0.000, 0.341) and Ag at (0.166, 0.500, 0.893).

For the total energy, the calculation gives -61.69 eV for the cell shown. For the density, the calculation gives 5.6 Mg/m³. As for the crystal system: monoclinic. The value obtained for the formation enthalpy at 0 K is -2.00 eV per formula unit. Its density of states at the Fermi level is 6.51 states/eV/f.u.


Record 4
The following is a DFT calculation (PBE) of an optimized crystal structure of Mg3Sc2Ag2.

It has space group C2/m (No. 12), with a = 10.180 Å, b = 4.288 Å, c = 7.060 Å, α = 90.00°, β = 96.02° and γ = 90.00°. Symmetry generates all atoms from Mg at (0.000, 0.000, 0.000), Mg at (0.196, 0.500, 0.860), Sc at (0.121, 0.500, 0.357) and Ag at (0.098, 0.000, 0.648).

For the total energy, the calculation gives -47.75 eV for the cell shown. For the density, the calculation gives 4.1 Mg/m³. As for the crystal system: monoclinic. The value obtained for the formation enthalpy at 0 K is -0.73 eV per formula unit. Its density of states at the Fermi level is 6.67 states/eV/f.u.


Record 5
The following is a DFT calculation (PBE) of an optimized crystal structure of MgScAg.

It has space group Cm (No. 8), with a = 8.110 Å, b = 4.448 Å, c = 4.825 Å, α = 90.00°, β = 125.17° and γ = 90.00°. Symmetry generates all atoms from Mg at (0.000, 0.000, 0.000), Sc at (0.482, 0.000, 0.477) and Ag at (0.241, 0.000, 0.738).

For the total energy, the calculation gives -21.52 eV for the cell shown. For the density, the calculation gives 4.1 Mg/m³. As for the crystal system: monoclinic. The value obtained for the formation enthalpy at 0 K is 0.02 eV per formula unit. Its density of states at the Fermi level is 3.77 states/eV/f.u.


Record 6
The following is a DFT calculation (PBE) of an optimized crystal structure of MgSc6Ag.

It has space group P-1 (No. 2), with a = 5.696 Å, b = 5.697 Å, c = 5.698 Å, α = 92.75°, β = 92.63° and γ = 92.79°. Symmetry generates all atoms from Mg at (0.000, 0.000, 0.000), Sc at (0.029, 0.519, 0.254), Sc at (0.254, 0.029, 0.519), Sc at (0.481, 0.746, 0.970) and Ag at (0.500, 0.500, 0.500).

For the total energy, the calculation gives -42.22 eV for the cell shown. For the density, the calculation gives 3.6 Mg/m³. As for the crystal system: triclinic. The value obtained for the formation enthalpy at 0 K is 0.21 eV per formula unit. Its density of states at the Fermi level is 10.73 states/eV/f.u.


Record 7
The following is a DFT calculation (PBE) of an optimized crystal structure of Mg3Sc2Ag2.

It has space group Cmmm (No. 65), with a = 3.336 Å, b = 28.322 Å, c = 3.187 Å, α = 90.00°, β = 90.00° and γ = 90.00°. Symmetry generates all atoms from Mg at (0.000, 0.000, 0.000), Mg at (0.000, 0.424, 0.500), Sc at (0.000, 0.299, 0.500) and Ag at (0.000, 0.136, 0.000).

For the total energy, the calculation gives -47.27 eV for the cell shown. For the density, the calculation gives 4.2 Mg/m³. As for the crystal system: orthorhombic. The value obtained for the formation enthalpy at 0 K is -0.49 eV per formula unit. Its density of states at the Fermi level is 5.57 states/eV/f.u.


Record 8
The following is a DFT calculation (PBE) of an optimized crystal structure of MgScAg.

It has space group Cmcm (No. 63), with a = 2.952 Å, b = 19.410 Å, c = 4.537 Å, α = 90.00°, β = 90.00° and γ = 90.00°. Symmetry generates all atoms from Mg at (0.000, 0.204, 0.250), Sc at (0.000, 0.446, 0.750) and Ag at (0.000, 0.356, 0.250).

For the total energy, the calculation gives -41.80 eV for the cell shown. For the density, the calculation gives 4.5 Mg/m³. As for the crystal system: orthorhombic. The value obtained for the formation enthalpy at 0 K is 0.33 eV per formula unit. Its density of states at the Fermi level is 2.40 states/eV/f.u.